(1)
Below is a relaxed LiCrFe2 crystal, with properties calculated at the PBE level.

## Properties
**DOS at the Fermi energy**: 6.47 states/eV per cell
**Distance to the lowest polymorph of the same formula**: 0.0853 eV/atom

Unit cell a=2.825 b=3.999 c=8.104 alpha=90.00 beta=90.00 gamma=90.00
Space group Imm2 (No. 44)
Symmetry-distinct sites (fractional):
Li 0.000 0.000 0.000 [2 per cell]
Cr 0.000 0.500 0.764 [2 per cell]
Fe 0.000 0.000 0.500 [2 per cell]
Fe 0.000 0.500 0.244 [2 per cell]



(2)
Below is a relaxed Ce4Y3ThS8 crystal, with properties calculated at the PBE level.

## Properties
**DOS at the Fermi energy**: 65.06 states/eV per cell
**Energy relative to the elements, uncorrected**: -2.01 eV/atom

Unit cell a=7.9675 b=7.9675 c=19.5706 alpha=90.00 beta=90.00 gamma=120.00
Space group R-3m (No. 166, hexagonal axes)
Symmetry-distinct sites (fractional):
Ce 0.0000 0.0000 0.0000 [3 per cell]
Ce 0.0000 0.5000 0.0000 [9 per cell]
Y 0.0000 0.5000 0.5000 [9 per cell]
Th 0.0000 0.0000 0.5000 [3 per cell]
S 0.0000 0.0000 0.2466 [6 per cell]
S 0.0063 0.5032 0.7522 [18 per cell]



(3)
Below is a relaxed Y3ThSb4 crystal, with properties calculated at the PBE level.

## Properties
**DOS at the Fermi energy**: 3.58 states/eV per cell
**Energy relative to the elements, uncorrected**: -1.11 eV/atom

Unit cell a=8.834 b=12.500 c=4.431 alpha=90.00 beta=90.00 gamma=90.00
Space group Cmmm (No. 65)
Symmetry-distinct sites (fractional):
Y 0.000 0.000 0.000 [2 per cell]
Y 0.250 0.250 0.500 [4 per cell]
Th 0.000 0.500 0.000 [2 per cell]
Sb 0.000 0.248 0.000 [4 per cell]
Sb 0.244 0.000 0.500 [4 per cell]



no.,DFT total energy (eV/atom),M_tot (μB per cell)
1,-6.84,4.05
2,-7.23,7.57
3,-6.53,0.00